K2CaTl3Br6 | the Alexandria database | PBE | relaxed; space group = C2/m (12); formation energy (no corrections) = -1285 meV/atom; D(E_F) = 2.72 states/eV/cell; energy = -3.063 eV per atom; density = 4.43 g/cm³
1.0
-0.216 -6.030 -4.985
6.685 3.943 1.007
-1.522 -4.104 8.585
K Ca Tl Br
2 1 3 6
direct
0.339 0.661 0.000 K
0.661 0.339 0.000 K
0.000 0.000 0.000 Ca
0.191 0.809 0.500 Tl
0.809 0.191 0.500 Tl
0.500 0.500 0.500 Tl
0.884 0.582 0.802 Br
0.835 0.835 0.220 Br
0.116 0.418 0.198 Br
0.582 0.884 0.802 Br
0.165 0.165 0.780 Br
0.418 0.116 0.198 Br